1.
SbIrRu2: relaxed, GGA-PBE.

extended XYZ file:
```
4
Lattice="4.027 0.000 0.000 0.000 2.896 0.020 0.000 1.824 5.480" Properties=species:S:1:pos:R:3 pbc="T T T"
Ir 2.013 3.540 4.124
Ru 0.000 2.120 5.409
Ru 0.000 2.065 2.820
Sb 2.013 1.180 1.375
```

Output
**Formation energy (no corrections)**: 0.23 eV/atom
**Symmetry**: P2/m, No. 10



2.
SbIrRu2: relaxed, GGA-PBE.

extended XYZ file:
```
4
Lattice="5.358 0.002 0.000 2.577 4.698 0.000 -3.440 -3.240 2.525" Properties=species:S:1:pos:R:3 pbc="T T T"
Ir 1.710 1.998 1.263
Ru 7.929 4.696 0.000
Ru 2.782 -0.539 1.262
Sb 3.976 2.355 0.000
```

Output
**Formation energy (no corrections)**: 0.32 eV/atom
**Symmetry**: Imm2, No. 44



3.
SbIrRu3: relaxed, GGA-PBE.

extended XYZ file:
```
5
Lattice="4.711 0.000 0.000 0.000 4.711 0.000 0.000 0.000 4.711" Properties=species:S:1:pos:R:3 pbc="T T T"
Sb 2.356 2.356 2.356
Ir 0.000 0.000 0.000
Ru 0.000 2.356 0.000
Ru 0.000 0.000 2.356
Ru 2.356 0.000 0.000
```

Output
**ΔE to the lowest computed polymorph**: 0.0 kJ/mol of atoms
**Formation energy (no corrections)**: 1.50 eV/atom
**Symmetry**: Pm-3m, No. 221



4.
SbIr2Ru: relaxed, GGA-PBE.

extended XYZ file:
```
4
Lattice="-3.294 -0.682 1.904 -0.639 -2.136 -1.870 2.085 -5.876 1.501" Properties=species:S:1:pos:R:3 pbc="T T T"
Ir -0.580 -2.211 -1.796
Ir 0.665 -3.932 -0.259
Ru -1.286 -2.344 0.860
Sb -0.563 -6.351 0.675
```

Output
**Formation energy (no corrections)**: 0.24 eV/atom
**Symmetry**: P2/m, No. 10



5.
SbIrRu2: relaxed, GGA-PBE.

extended XYZ file:
```
4
Lattice="-1.540 2.417 -0.508 -2.096 -0.680 3.121 3.684 3.004 3.128" Properties=species:S:1:pos:R:3 pbc="T T T"
Ir 0.996 3.164 3.696
Ru 0.031 0.026 0.027
Ru -0.975 1.557 2.023
Sb 1.837 1.498 1.560
```

Output
**Formation energy (no corrections)**: 0.25 eV/atom
**Symmetry**: Pmm2, No. 25



6.
SbIrRu2: relaxed, GGA-PBE.

extended XYZ file:
```
4
Lattice="-1.207 -0.014 2.671 -0.145 -2.926 -0.081 6.663 -0.414 3.007" Properties=species:S:1:pos:R:3 pbc="T T T"
Ir 4.322 -1.781 3.551
Ru 6.626 -0.412 2.991
Ru 3.369 -0.210 1.521
Sb 0.990 -1.574 2.047
```

Output
**Formation energy (no corrections)**: 0.28 eV/atom
**Symmetry**: P4/mmm, No. 123



7.
SbIrRu2: relaxed, GGA-PBE.

extended XYZ file:
```
4
Lattice="4.759 0.000 -0.004 1.345 4.565 0.004 -3.049 -2.286 2.850" Properties=species:S:1:pos:R:3 pbc="T T T"
Ir 0.674 2.281 1.427
Ru 0.000 0.000 0.000
Ru 3.052 2.282 0.000
Sb 2.381 -0.002 1.423
```

Output
**Formation energy (no corrections)**: 0.10 eV/atom
**Symmetry**: I4/mmm, No. 139



8.
SbIrRu2: relaxed, GGA-PBE.

extended XYZ file:
```
8
Lattice="5.720 0.000 0.000 0.000 5.720 0.000 2.860 2.860 5.723" Properties=species:S:1:pos:R:3 pbc="T T T"
Sb 2.860 2.860 0.000
Sb 2.860 5.720 2.861
Ir 0.000 0.000 0.000
Ir 5.720 2.860 2.861
Ru 4.467 1.430 1.431
Ru 1.253 4.290 1.431
Ru 4.290 4.113 4.292
Ru 7.150 7.327 4.292
```

Output
**Formation energy (no corrections)**: 0.78 eV/atom
**Symmetry**: I-42d, No. 122